Record 1
{"formula": "DyPu2Mn3", "functional": "PBE", "state": "optimized geometry", "lattice_angstrom": [[-5.1122, 0.6889, -3.5064], [2.0083, -4.3182, -3.7764], [-3.1638, -3.3635, 3.9520]], "species": ["Dy", "Dy", "Pu", "Pu", "Pu", "Pu", "Mn", "Mn", "Mn", "Mn", "Mn", "Mn"], "fractional_positions": [[0.2500, 0.3064, 0.3064], [0.7500, 0.6936, 0.6936], [0.5000, 0.7821, 0.2179], [0.0000, 0.7821, 0.2179], [0.0000, 0.2179, 0.7821], [0.5000, 0.2179, 0.7821], [0.7500, 0.4996, 0.1802], [0.7500, 0.1802, 0.4996], [0.2500, 0.5004, 0.8198], [0.7500, 0.0785, 0.0785], [0.2500, 0.9215, 0.9215], [0.2500, 0.8198, 0.5004]], "sg": "No. 63", "dft_energy_ev_per_cell": -119.48}

=====

Record 2
{"formula": "Dy2PuMn", "functional": "PBE", "state": "optimized geometry", "lattice_angstrom": [[-2.1966, 2.3789, -0.6916], [-3.1992, -0.7615, -0.3839], [-3.5138, 2.1703, 10.6998]], "species": ["Dy", "Dy", "Mn", "Pu"], "fractional_positions": [[0.0834, 0.0834, 0.7498], [0.9166, 0.9166, 0.2502], [0.0000, 0.0000, 0.0000], [0.5000, 0.5000, 0.5000]], "sg": "No. 166", "dft_energy_ev_per_cell": -30.41}

=====

Record 3
{"formula": "Dy2PuMn", "functional": "PBE", "state": "optimized geometry", "lattice_angstrom": [[-2.5282, -1.7723, -1.5218], [1.5393, 0.4227, -3.0496], [4.4348, -7.3711, 1.2167]], "species": ["Dy", "Dy", "Mn", "Pu"], "fractional_positions": [[0.0000, 0.0000, 0.7966], [0.0000, 0.0000, 0.2034], [0.5000, 0.5000, 0.0000], [0.5000, 0.5000, 0.5000]], "sg": "No. 123", "dft_energy_ev_per_cell": -32.02}

=====

Record 4
{"formula": "DyPu2Mn", "functional": "PBE", "state": "optimized geometry", "lattice_angstrom": [[3.3142, 0.0000, 0.0000], [0.0000, 3.3142, 0.0000], [0.0000, 0.0000, 8.6961]], "species": ["Dy", "Mn", "Pu", "Pu"], "fractional_positions": [[0.5000, 0.5000, 0.5000], [0.5000, 0.5000, 0.0000], [0.0000, 0.0000, 0.8045], [0.0000, 0.0000, 0.1955]], "sg": "No. 123", "dft_energy_ev_per_cell": -41.89}

=====

Record 5
{"formula": "DyPuMnRu", "functional": "PBE", "state": "optimized geometry", "lattice_angstrom": [[-0.6712, 0.0969, 4.7738], [1.8510, -3.4887, 2.7661], [3.7022, 0.9602, 2.9361]], "species": ["Ru", "Dy", "Mn", "Pu"], "fractional_positions": [[0.2500, 0.2500, 0.2500], [0.0000, 0.0000, 0.0000], [0.7500, 0.7500, 0.7500], [0.5000, 0.5000, 0.5000]], "sg": "No. 216", "dft_energy_ev_per_cell": -37.71}

=====

Record 6
{"formula": "DyPu2MnS5", "functional": "PBE", "state": "optimized geometry", "lattice_angstrom": [[3.8787, 0.0000, 0.0000], [-1.9393, 8.1996, 0.0000], [0.0000, 0.0000, 11.8655]], "species": ["Dy", "Dy", "Pu", "Pu", "Pu", "Pu", "Mn", "Mn", "S", "S", "S", "S", "S", "S", "S", "S", "S", "S"], "fractional_positions": [[0.8013, 0.6026, 0.5029], [0.1987, 0.3974, 0.0029], [0.8733, 0.7465, 0.8022], [0.1109, 0.2219, 0.6862], [0.1267, 0.2535, 0.3022], [0.8891, 0.7781, 0.1862], [0.5072, 0.0144, 0.9739], [0.4928, 0.9856, 0.4739], [0.3627, 0.7255, 0.9996], [0.6897, 0.3795, 0.8435], [0.4984, 0.9968, 0.7790], [0.2895, 0.5791, 0.6642], [0.9559, 0.9118, 0.5725], [0.6373, 0.2745, 0.4996], [0.3103, 0.6205, 0.3435], [0.5016, 0.0032, 0.2790], [0.7105, 0.4209, 0.1642], [0.0441, 0.0882, 0.0725]], "sg": "No. 36", "e_form_raw_ev_per_atom": -1.54, "dft_energy_ev_per_cell": -153.88}

=====

Question: What is the formula in the fifth record?
Answer: DyPuMnRu

=====

Repeat the second record exactly.
{"formula": "Dy2PuMn", "functional": "PBE", "state": "optimized geometry", "lattice_angstrom": [[-2.1966, 2.3789, -0.6916], [-3.1992, -0.7615, -0.3839], [-3.5138, 2.1703, 10.6998]], "species": ["Dy", "Dy", "Mn", "Pu"], "fractional_positions": [[0.0834, 0.0834, 0.7498], [0.9166, 0.9166, 0.2502], [0.0000, 0.0000, 0.0000], [0.5000, 0.5000, 0.5000]], "sg": "No. 166", "dft_energy_ev_per_cell": -30.41}